{
  "formula": "MgCrI2O",
  "functional": "PBE with a Hubbard U",
  "state": "relaxed",
  "cell": [[5.826, 0.000, 0.000], [0.000, 5.826, 0.000], [0.000, 0.000, 3.738]],
  "species": ["Mg", "Cr", "I", "I", "O"],
  "frac_coords": [[0.000, 0.000, 0.000], [0.500, 0.500, 0.500], [0.000, 0.500, 0.500], [0.500, 0.000, 0.500], [0.500, 0.500, 0.000]],
  "relative_energy_mev_per_atom": 0,
  "mass_density_g_cm3": 4.529,
  "dos_ef_per_ev_fu": 1.39
}